12
Lattice="-3.7501 -2.6428 0.8349 6.5118 -3.2866 5.8231 -4.1217 6.4378 1.8649" Properties=species:S:1:pos:R:3 comment="PBE-GGA YMg3Hg2, relaxed" sg="C2/m, No. 12" formation_energy_mev_per_atom=-264 energy_ev_per_atom=-2.239 density_g_cm3=6.61 relative_energy_ev_per_fu=0.23 m_tot_mub_per_atom=0.000 pbc="T T T"
Y -2.2044 1.2043 6.9331
Y 0.8444 -0.6959 1.5898
Mg -0.1929 -1.6599 6.9020
Mg -1.1671 2.1682 1.6209
Mg 0.6625 0.5815 4.8165
Mg -3.7892 2.3930 3.5773
Mg -2.0225 -0.0731 3.7064
Mg 2.4292 -1.8846 4.9456
Hg -0.3205 -2.3619 4.1066
Hg 1.2229 0.6585 7.5773
Hg -1.0396 2.8703 4.4163
Hg -2.5829 -0.1501 0.9456

4
Lattice="-3.3753 1.0211 -0.8303 -1.9348 -1.8260 5.6197 -0.3590 3.3564 5.5870" Properties=species:S:1:pos:R:3 comment="PBE-GGA Y2MgHg, relaxed" sg="P2/m, No. 10" formation_energy_mev_per_atom=-149 energy_ev_per_atom=-3.855 density_g_cm3=5.92 relative_energy_ev_per_fu=0.64 m_tot_mub_per_atom=0.000 pbc="T T T"
Mg -0.1795 1.6782 2.7935
Hg -2.8346 1.2757 5.1882
Y 0.0000 0.0000 0.0000
Y -2.6551 -0.4025 2.3947

6
Lattice="6.2191 -0.0845 1.3522 2.7978 5.1723 2.4358 1.9392 0.0125 6.0624" Properties=species:S:1:pos:R:3 comment="PBE-GGA Y4MgHg, relaxed" sg="F-43m, No. 216" formation_energy_mev_per_atom=302 energy_ev_per_atom=-4.323 density_g_cm3=5.29 relative_energy_ev_per_fu=1.08 m_tot_mub_per_atom=0.000 pbc="T T T"
Y 7.2180 1.8704 4.3700
Y 5.5074 4.4987 4.9117
Y 5.0781 1.9189 6.7250
Y 4.1085 1.9126 3.6939
Mg 0.0000 0.0000 0.0000
Hg 8.2170 3.8252 7.3877

3
Lattice="6.3233 -0.1116 0.1208 5.3644 3.3499 0.1172 0.9588 0.2698 3.4510" Properties=species:S:1:pos:R:3 comment="PBE-GGA YMgHg, relaxed" sg="I4mm, No. 107" formation_energy_mev_per_atom=-270 energy_ev_per_atom=-3.057 density_g_cm3=6.97 m_tot_mub_per_atom=0.072 pbc="T T T"
Y 8.0312 2.2266 1.3331
Mg 4.7394 1.3158 2.3188
Hg 11.5637 3.2040 0.2752

4
Lattice="-3.6206 6.5486 3.6475 -2.2248 -3.8984 -2.6416 -2.3740 -0.6811 3.0002" Properties=species:S:1:pos:R:3 comment="PBE-GGA Y2MgHg, relaxed" sg="P4/mmm, No. 123" formation_energy_mev_per_atom=-308 energy_ev_per_atom=-4.014 density_g_cm3=6.34 relative_energy_ev_per_fu=0.00 m_tot_mub_per_atom=0.001 pbc="T T T"
Y 0.0000 0.0000 0.0000
Y -2.9973 2.9338 3.3238
Mg -2.9227 1.3251 0.5029
Hg -2.2994 -2.2897 0.1793

10
Lattice="5.0508 0.0000 1.1542 0.0000 5.1786 0.0000 0.2131 0.0000 10.6956" Properties=species:S:1:pos:R:3 comment="PBE-GGA Y3MgHg, relaxed" sg="Cmcm, No. 63" formation_energy_mev_per_atom=-229 energy_ev_per_atom=-4.487 density_g_cm3=5.86 relative_energy_ev_per_fu=0.00 m_tot_mub_per_atom=0.000 pbc="T T T"
Hg 3.4203 3.8840 4.2003
Hg 5.1183 1.2947 8.3979
Y 0.4866 3.8840 5.4095
Y 3.0011 1.2947 6.0344
Y 2.1198 1.2947 9.8909
Y 3.8703 1.2947 2.2309
Y 4.6681 3.8840 10.3673
Y 1.3679 3.8840 1.5531
Mg 2.5642 3.8840 7.9463
Mg 0.9235 1.2947 3.4977

10
Lattice="8.1605 0.0000 0.0000 0.0000 8.1605 0.0000 0.0000 0.0000 3.6169" Properties=species:S:1:pos:R:3 comment="PBE-GGA YMg2Hg2, relaxed" sg="P4/mbm, No. 127" formation_energy_mev_per_atom=-248 energy_ev_per_atom=-2.299 density_g_cm3=7.43 relative_energy_ev_per_fu=0.28 m_tot_mub_per_atom=0.000 pbc="T T T"
Mg 1.3217 5.4020 1.8085
Mg 5.4020 6.8388 1.8085
Mg 6.8388 2.7586 1.8085
Mg 2.7586 1.3217 1.8085
Hg 1.1253 2.9550 0.0000
Hg 2.9550 7.0352 0.0000
Hg 7.0352 5.2056 0.0000
Hg 5.2056 1.1253 0.0000
Y 0.0000 0.0000 0.0000
Y 4.0803 4.0803 0.0000

12
Lattice="-2.8296 -3.6649 2.1989 2.7242 -1.0470 -4.2137 9.9540 -3.3280 7.2622" Properties=species:S:1:pos:R:3 comment="PBE-GGA Y2MgHg3, relaxed" sg="P-3m1, No. 164" formation_energy_mev_per_atom=-477 energy_ev_per_atom=-3.048 density_g_cm3=9.19 m_tot_mub_per_atom=0.000 pbc="T T T"
Hg -0.1457 -3.0706 0.6688
Hg 9.9943 -4.9693 4.5785
Hg 2.5298 -0.8458 1.8457
Hg 5.0575 -3.3187 0.9768
Hg 7.4242 -2.4822 5.4165
Hg 4.7911 -4.7212 4.2706
Y 0.0000 0.0000 0.0000
Y 2.6488 -2.5134 -0.7806
Y 7.1998 -5.5266 6.0279
Y 4.9770 -1.6640 3.6311
Mg 7.4705 -4.1255 2.7372
Mg 2.3781 -3.9145 2.5101

6
Lattice="-4.6593 0.5873 -1.8059 1.0986 -3.9998 2.5673 -4.6136 -0.1162 6.4891" Properties=species:S:1:pos:R:3 comment="PBE-GGA YMgHg4, relaxed" sg="P1, No. 1" formation_energy_mev_per_atom=-263 energy_ev_per_atom=-1.807 density_g_cm3=10.71 relative_energy_ev_per_fu=0.02 m_tot_mub_per_atom=0.000 pbc="T T T"
Mg -5.8630 -3.4598 3.9909
Hg -3.0233 -3.3807 2.8555
Hg -5.1536 -0.1241 4.3481
Hg -4.9825 -1.8748 1.3989
Hg -3.1945 -1.6308 5.8059
Y -6.3960 -1.8093 6.8490

4
Lattice="-1.2171 -6.8447 -7.3784 1.9881 -7.9392 -5.9823 -1.1502 -9.0383 -4.4451" Properties=species:S:1:pos:R:3 comment="PBE-GGA Y2MgHg, relaxed" sg="R-3m, No. 166" formation_energy_mev_per_atom=-168 energy_ev_per_atom=-3.874 density_g_cm3=5.80 relative_energy_ev_per_fu=0.56 m_tot_mub_per_atom=0.000 pbc="T T T"
Y -0.3776 -23.7198 -17.7292
Y -0.1912 -12.0135 -8.9794
Hg -0.0948 -5.9555 -4.4514
Mg -0.2844 -17.8666 -13.3543

3
Lattice="4.9107 0.0000 0.0000 -2.4554 4.2528 0.0000 0.0000 0.0000 3.5564" Properties=species:S:1:pos:R:3 comment="PBE-GGA YMgHg, relaxed" sg="P-6m2, No. 187" formation_energy_mev_per_atom=-338 energy_ev_per_atom=-3.125 density_g_cm3=7.02 m_tot_mub_per_atom=0.000 pbc="T T T"
Hg 0.0000 0.0000 0.5922
Mg 2.4554 1.4176 0.5925
Y 0.0000 2.8352 2.3718

10
Lattice="8.2541 0.0000 0.0000 0.0000 8.2541 0.0000 0.0000 0.0000 4.3064" Properties=species:S:1:pos:R:3 comment="PBE-GGA Y2Mg2Hg, relaxed" sg="P4/mbm, No. 127" formation_energy_mev_per_atom=69 energy_ev_per_atom=-3.214 density_g_cm3=4.83 relative_energy_ev_per_fu=1.43 m_tot_mub_per_atom=0.000 pbc="T T T"
Hg 4.1271 4.1271 0.0000
Hg 0.0000 0.0000 0.0000
Y 1.2532 2.8738 0.0000
Y 7.0009 5.3803 0.0000
Y 5.3803 1.2532 0.0000
Y 2.8738 7.0009 0.0000
Mg 7.0594 2.9323 2.1532
Mg 5.3218 7.0594 2.1532
Mg 1.1947 5.3218 2.1532
Mg 2.9323 1.1947 2.1532

10
Lattice="7.2584 0.0000 0.0000 0.0000 7.2584 0.0000 0.0000 0.0000 5.0014" Properties=species:S:1:pos:R:3 comment="PBE-GGA Y2Mg2Hg, relaxed" sg="P4/mbm, No. 127" formation_energy_mev_per_atom=-126 energy_ev_per_atom=-3.410 density_g_cm3=5.38 relative_energy_ev_per_fu=0.46 m_tot_mub_per_atom=0.217 pbc="T T T"
Y 1.2361 4.8653 2.5007
Y 6.0222 2.3930 2.5007
Y 4.8653 6.0222 2.5007
Y 2.3930 1.2361 2.5007
Hg 0.0000 0.0000 0.0000
Hg 3.6292 3.6292 0.0000
Mg 2.6306 6.2598 0.0000
Mg 4.6277 0.9986 0.0000
Mg 6.2598 4.6277 0.0000
Mg 0.9986 2.6306 0.0000

18
Lattice="6.6986 0.0000 0.0000 0.0000 9.1255 0.0000 0.0000 -4.5627 7.9006" Properties=species:S:1:pos:R:3 comment="PBE-GGA Y5MgHg3, relaxed" sg="P6_3/mcm, No. 193" formation_energy_mev_per_atom=-350 energy_ev_per_atom=-4.219 density_g_cm3=7.36 m_tot_mub_per_atom=0.000 pbc="T T T"
Hg 5.0239 6.1936 5.0747
Hg 5.0239 5.8622 0.0000
Hg 5.0239 1.6309 2.8258
Hg 1.6746 3.2633 0.0000
Hg 1.6746 2.9319 5.0747
Hg 1.6746 -1.6309 2.8258
Mg 3.3493 0.0000 0.0000
Mg 0.0000 0.0000 0.0000
Y 0.0000 0.0000 5.2670
Y 5.0239 -1.4053 2.4333
Y 1.6746 6.3155 0.0000
Y 5.0239 3.1574 5.4672
Y 0.0000 4.5627 2.6336
Y 3.3493 4.5627 2.6336
Y 5.0239 2.8099 0.0000
Y 1.6746 1.4053 2.4333
Y 3.3493 0.0000 5.2670
Y 1.6746 5.9680 5.4672

12
Lattice="4.7178 -0.0041 -1.3225 -3.5553 7.0628 -3.6282 -0.1222 -0.9753 8.6441" Properties=species:S:1:pos:R:3 comment="PBE-GGA YMg5Hg6, relaxed" sg="C2/m, No. 12" formation_energy_mev_per_atom=-290 energy_ev_per_atom=-1.644 density_g_cm3=8.84 m_tot_mub_per_atom=0.000 pbc="T T T"
Mg 1.6649 0.3616 5.9387
Mg -0.6246 5.7218 -2.2452
Mg -2.4271 4.4212 0.4049
Mg 0.5202 3.0417 1.8467
Mg -1.2504 1.6663 4.6110
Hg 0.1873 5.8801 0.6722
Hg 1.3479 3.1627 4.8211
Hg 2.6410 1.6178 0.3208
Hg 0.8531 0.2033 3.0212
Hg -1.6007 4.4656 3.3726
Hg -0.3076 2.9207 -1.1277
Y 0.0000 0.0000 0.0000

4
Lattice="-7.3030 0.7644 -4.7356 -6.0325 -2.6293 -5.7481 -8.0394 -2.2372 -2.5897" Properties=species:S:1:pos:R:3 comment="PBE-GGA YMgHg2, relaxed" sg="R-3m, No. 166" formation_energy_mev_per_atom=-254 energy_ev_per_atom=-2.419 density_g_cm3=8.23 m_tot_mub_per_atom=0.000 pbc="T T T"
Y -16.0312 -3.0766 -9.8050
Mg -5.3437 -1.0255 -3.2683
Hg -10.7904 -2.0708 -6.5996
Hg -21.2720 -4.0824 -13.0104

4
Lattice="-1.4993 5.8288 -0.2974 -3.5035 2.1664 4.3981 5.2313 -2.7943 -1.0660" Properties=species:S:1:pos:R:3 comment="PBE-GGA YMgHg2, relaxed" sg="Imm2, No. 44" formation_energy_mev_per_atom=-275 energy_ev_per_atom=-2.441 density_g_cm3=8.73 m_tot_mub_per_atom=0.000 pbc="T T T"
Hg -4.9676 7.9389 4.0719
Hg 0.5961 3.5466 0.3592
Mg -2.5621 4.0946 2.1001
Y -0.3421 1.6135 2.6546

8
Lattice="-3.1579 2.0182 -0.2696 -0.1829 -0.7767 -3.6717 -8.0183 -12.1498 2.9695" Properties=species:S:1:pos:R:3 comment="PBE-GGA Y4MgHg3, relaxed" sg="P4/mmm, No. 123" formation_energy_mev_per_atom=-410 energy_ev_per_atom=-3.955 density_g_cm3=7.77 m_tot_mub_per_atom=0.000 pbc="T T T"
Y -5.0041 -7.5825 1.8532
Y -3.0142 -4.5673 1.1163
Y -1.0285 -1.5585 0.3809
Y -6.9898 -10.5913 2.5886
Hg -7.7056 -8.5241 0.2645
Hg -3.6535 -2.3842 -1.2362
Hg -5.6796 -5.4541 -0.4859
Mg -1.6704 0.6208 -1.9706

4
Lattice="-1.0065 -2.4835 -4.5832 3.8680 -0.6339 -3.5809 2.0172 -4.8273 -0.9021" Properties=species:S:1:pos:R:3 comment="PBE-GGA Y2MgHg, relaxed" sg="F-43m, No. 216" formation_energy_mev_per_atom=4 energy_ev_per_atom=-3.702 density_g_cm3=6.32 relative_energy_ev_per_fu=1.25 m_tot_mub_per_atom=0.001 pbc="T T T"
Y 0.0000 0.0000 0.0000
Y 1.2197 -1.9862 -2.2665
Hg 2.4394 -3.9724 -4.5331
Mg 3.6591 -5.9586 -6.7996

4
Lattice="-1.5996 -2.2906 -4.1993 -1.9768 -2.4274 2.0771 -3.9795 3.0930 -0.1713" Properties=species:S:1:pos:R:3 comment="PBE-GGA YMgHg2, relaxed" sg="P4/mmm, No. 123" formation_energy_mev_per_atom=-403 energy_ev_per_atom=-2.568 density_g_cm3=8.94 m_tot_mub_per_atom=0.000 pbc="T T T"
Y -5.5179 0.0444 -0.9514
Hg -2.5403 -0.2893 -1.9036
Hg -3.7279 2.4030 0.1093
Mg -2.7275 -0.3573 1.2339